Record 1
This record from Alexandria via LeMat-Bulk describes crystalline Nd4Tl2I3 at its relaxed geometry. The functional is PBE-GGA.

Lattice parameters (Å, degrees): 4.4232 4.4232 19.6629 90.00 90.00 120.00
Space group P-3m1 (No. 164)
Inequivalent atoms, fractional coordinates:
1 Nd 0.0000 0.0000 0.2039 (multiplicity 2)
2 Nd 0.3333 0.6667 0.3960 (multiplicity 2)
3 Tl 0.3333 0.6667 0.6993 (multiplicity 2)
4 I 0.0000 0.0000 0.5000 (multiplicity 1)
5 I 0.3333 0.6667 0.1030 (multiplicity 2)

## Properties
calculated volume	37.02	Å³/atom
uncorrected energy	-3.95	eV/atom
formation energy (no corrections)	-0.787	eV per atom

Record 2
This record from Alexandria via LeMat-Bulk describes crystalline Nd2TlI3 at its relaxed geometry. The functional is PBE-GGA.

Lattice parameters (Å, degrees): 20.9052 4.2754 14.3843 90.00 129.61 90.00
Space group C2/m (No. 12)
Inequivalent atoms, fractional coordinates:
1 Nd 0.1098 0.0000 0.4311 (multiplicity 4)
2 Nd 0.1272 0.5000 0.8288 (multiplicity 4)
3 Tl 0.0746 0.0000 0.6263 (multiplicity 4)
4 I 0.0440 0.5000 0.2193 (multiplicity 4)
5 I 0.1770 0.0000 0.0358 (multiplicity 4)
6 I 0.2465 0.5000 0.6162 (multiplicity 4)

## Properties
calculated volume	41.27	Å³/atom
uncorrected energy	-3.69	eV/atom
formation energy (no corrections)	-0.934	eV per atom

Record 3
This record from Alexandria via LeMat-Bulk describes crystalline NdTmI at its relaxed geometry. The functional is PBE-GGA.

Lattice parameters (Å, degrees): 3.7436 19.2126 5.5444 90.00 90.00 90.00
Space group Cmcm (No. 63)
Inequivalent atoms, fractional coordinates:
1 Nd 0.0000 0.1284 0.2500 (multiplicity 4)
2 Tm 0.0000 0.4675 0.2500 (multiplicity 4)
3 I 0.0000 0.3066 0.2500 (multiplicity 4)

## Properties
calculated volume	33.23	Å³/atom
uncorrected energy	-4.03	eV/atom
formation energy (no corrections)	-0.434	eV per atom
E above lowest polymorph	0.00	eV per formula unit

Record 4
This record from Alexandria via LeMat-Bulk describes crystalline NdTmI at its relaxed geometry. The functional is PBE-GGA.

Lattice parameters (Å, degrees): 5.4280 5.4280 3.8324 90.00 90.00 120.00
Space group P3m1 (No. 156)
Inequivalent atoms, fractional coordinates:
1 Nd 0.0000 0.0000 0.0000 (multiplicity 1)
2 Tm 0.3333 0.6667 0.4828 (multiplicity 1)
3 I 0.6667 0.3333 0.3515 (multiplicity 1)

## Properties
calculated volume	32.60	Å³/atom
uncorrected energy	-3.77	eV/atom
formation energy (no corrections)	-0.175	eV per atom
E above lowest polymorph	0.78	eV per formula unit

Record 5
This record from Alexandria via LeMat-Bulk describes crystalline NdVI at its relaxed geometry. The functional is PBE-GGA.

Lattice parameters (Å, degrees): 15.1562 3.6636 5.6558 90.00 102.36 90.00
Space group C2/m (No. 12)
Inequivalent atoms, fractional coordinates:
1 Nd 0.1217 0.0000 0.3158 (multiplicity 4)
2 V 0.2417 0.0000 0.8569 (multiplicity 4)
3 I 0.0896 0.5000 0.7939 (multiplicity 4)

## Properties
calculated volume	25.56	Å³/atom
uncorrected energy	-5.08	eV/atom
formation energy (no corrections)	0.069	eV per atom

Record 6
This record from Alexandria via LeMat-Bulk describes crystalline NdYI6 at its relaxed geometry. The functional is PBE-GGA.

Lattice parameters (Å, degrees): 7.7212 7.7212 20.9552 90.00 90.00 120.00
Space group R-3 (No. 148, hexagonal axes)
Inequivalent atoms, fractional coordinates:
1 Nd 0.0000 0.0000 0.0000 (multiplicity 3)
2 Y 0.0000 0.0000 0.5000 (multiplicity 3)
3 I 0.0021 0.6752 0.5822 (multiplicity 18)

## Properties
calculated volume	45.08	Å³/atom
uncorrected energy	-3.91	eV/atom
formation energy (no corrections)	-1.345	eV per atom
E above lowest polymorph	0.18	eV per formula unit

- calculated volume of number 1 (Nd4Tl2I3)?
  37.02 Å³/atom

Please write out number 2 again, unchanged.
This record from Alexandria via LeMat-Bulk describes crystalline Nd2TlI3 at its relaxed geometry. The functional is PBE-GGA.

Lattice parameters (Å, degrees): 20.9052 4.2754 14.3843 90.00 129.61 90.00
Space group C2/m (No. 12)
Inequivalent atoms, fractional coordinates:
1 Nd 0.1098 0.0000 0.4311 (multiplicity 4)
2 Nd 0.1272 0.5000 0.8288 (multiplicity 4)
3 Tl 0.0746 0.0000 0.6263 (multiplicity 4)
4 I 0.0440 0.5000 0.2193 (multiplicity 4)
5 I 0.1770 0.0000 0.0358 (multiplicity 4)
6 I 0.2465 0.5000 0.6162 (multiplicity 4)

## Properties
calculated volume	41.27	Å³/atom
uncorrected energy	-3.69	eV/atom
formation energy (no corrections)	-0.934	eV per atom